DFT (PBE-GGA) results for Na2SmHfTe4 after structural relaxation.

Cell lengths 7.467, 4.267, 8.059 Å; angles 90.00, 107.65, 90.00 degrees
Space group P2/m (No. 10)
Inequivalent atoms, fractional coordinates:
Na1 0.000 0.000 0.000 (multiplicity 1)
Na2 0.500 0.500 0.000 (multiplicity 1)
Sm1 0.000 0.500 0.500 (multiplicity 1)
Hf1 0.500 0.000 0.500 (multiplicity 1)
Te1 0.263 0.000 0.734 (multiplicity 2)
Te2 0.275 0.500 0.276 (multiplicity 2)

Calculated values
DFT total energy ... -4.7821 eV per atom
Formation energy (no corrections) ... -1.047 eV per atom
V ... 30.58 Å³/atom